The following is a DFT calculation (PBE) of a relaxed structure of ZrTl2CuHg.

abc: 5.4796 5.5498 5.4796
angles: 90.00 90.00 90.00
Last column: nearest neighbours and their distance in Å.
Atoms (fractional coordinates):
Hg 0.0000 0.0000 0.0000  4 Tl 2.74, 2 Zr 2.77
Zr 0.0000 0.5000 0.0000  2 Hg 2.77
Tl 0.5000 0.0000 0.0000  2 Hg 2.74
Cu 0.5000 0.5000 0.5000  4 Zr 3.87, 8 Tl 3.90
Tl 0.0000 0.0000 0.5000  2 Hg 2.74

Output
E in eV/atom: -2.42
Calculated formation energy in eV per atom: 1.12